Compound: LiLaCd2Hg
Source: Alexandria via LeMat-Bulk
Functional: PBE
Structure: relaxed

abc: 4.945 4.945 4.972
angles: 90.00 90.00 90.00
Positions (direct):
Li (0.000, 0.000, 0.000)
La (0.500, 0.500, 0.500)
Cd (0.000, 0.500, 0.000)
Cd (0.500, 0.000, 0.000)
Hg (0.000, 0.000, 0.500)

Summary:
DOS at the Fermi energy: 3.0 states/eV/cell
total energy: -2.013 eV/atom
calculated volume: 122 Å³/cell
total moment: 0.00 μB per cell
ΔH_f (0 K): -1.1 eV/f.u.